SCAN CoTe2O, PBEsol geometry; magnetic moment = 0.00 μB per cell; uncorrected formation energy = 54 meV/atom; symmetry = I-42d
1.0
-2.0796 -3.4943 3.3224
4.1739 0.5069 3.1457
-3.7207 5.7983 -0.3802
Te O Co
4 2 2
direct
0.1250 0.1231 0.7500
0.3731 0.8750 0.2500
0.8769 0.3750 0.2500
0.6250 0.6269 0.7500
0.5000 0.5000 0.0000
0.7500 0.2500 0.5000
0.2500 0.7500 0.5000
0.0000 0.0000 0.0000



SCAN CoTe6O13, PBEsol geometry; magnetic moment = 6.00 μB per cell; uncorrected formation energy = -1091 meV/atom; symmetry = R-3
1.0
-2.4566 -7.6790 2.8145
4.6316 -5.9014 -4.0799
5.9680 -2.8545 5.3998
O Te Co
26 12 2
direct
0.8818 0.1257 0.2027
0.7973 0.1182 0.8743
0.5844 0.5844 0.5844
0.1257 0.2027 0.8818
0.7033 0.4519 0.2008
0.4519 0.2008 0.7033
0.5833 0.6016 0.8952
0.4167 0.3984 0.1048
0.3854 0.1349 0.0481
0.6146 0.8651 0.9519
0.3984 0.1048 0.4167
0.0481 0.3854 0.1349
0.9519 0.6146 0.8651
0.2967 0.5481 0.7992
0.8743 0.7973 0.1182
0.8651 0.9519 0.6146
0.1349 0.0481 0.3854
0.6016 0.8952 0.5833
0.4156 0.4156 0.4156
0.7992 0.2967 0.5481
0.1048 0.4167 0.3984
0.1182 0.8743 0.7973
0.2027 0.8818 0.1257
0.2008 0.7033 0.4519
0.8952 0.5833 0.6016
0.5481 0.7992 0.2967
0.5693 0.1670 0.4841
0.0252 0.9158 0.3294
0.3294 0.0252 0.9158
0.5159 0.4307 0.8330
0.8330 0.5159 0.4307
0.1670 0.4841 0.5693
0.9748 0.0842 0.6706
0.4307 0.8330 0.5159
0.6706 0.9748 0.0842
0.9158 0.3294 0.0252
0.0842 0.6706 0.9748
0.4841 0.5693 0.1670
0.7555 0.7555 0.7555
0.2445 0.2445 0.2445



SCAN ZnCoTe3O8, PBEsol geometry; magnetic moment = 6.00 μB per cell; uncorrected formation energy = -1229 meV/atom; symmetry = C2
1.0
5.1576 0.0000 0.0000
-2.5788 6.2793 0.0311
0.0000 -1.8307 11.3448
O Co Zn Te
16 2 2 6
direct
0.2482 0.4669 0.7131
0.7388 0.2243 0.8843
0.2570 0.7750 0.6147
0.5134 0.1638 0.1092
0.6808 0.6116 0.5547
0.6470 0.1685 0.6080
0.0692 0.3884 0.4453
0.7558 0.5281 0.7761
0.9348 0.6076 0.0613
0.4785 0.8315 0.3920
0.4820 0.2250 0.3853
0.7812 0.5331 0.2869
0.5145 0.7757 0.1157
0.3497 0.8362 0.8908
0.2277 0.4719 0.2239
0.3272 0.3924 0.9387
0.9340 0.4633 0.5990
0.4708 0.5367 0.4010
0.5273 0.4609 0.0972
0.0663 0.5391 0.9028
0.3317 0.0000 0.5000
0.6600 0.0000 0.0000
0.4351 0.2648 0.7974
0.5659 0.7333 0.6969
0.1702 0.7352 0.2026
0.8327 0.2667 0.3031



SCAN TiCo5O12, PBEsol geometry; magnetic moment = 5.01 μB per cell; uncorrected formation energy = -1363 meV/atom; symmetry = C2/m
1.0
4.8517 0.0000 -0.0230
2.4259 4.2088 -0.0115
-0.0489 0.0000 9.3014
O Ti Co
12 1 5
direct
0.3474 0.0000 0.8948
0.0018 0.3493 0.1050
0.8355 0.0000 0.5981
0.6526 0.0000 0.1051
0.4981 0.3332 0.4023
0.1687 0.3332 0.5977
0.5019 0.6668 0.5977
0.3511 0.6507 0.1050
0.8313 0.6668 0.4023
0.1645 0.0000 0.4020
0.9981 0.6507 0.8949
0.6489 0.3493 0.8949
0.0000 0.0000 0.0000
0.5000 0.0000 0.5000
0.1667 0.6666 0.5000
0.3334 0.3332 0.0000
0.6666 0.6668 0.0000
0.8333 0.3334 0.5000



SCAN TiCo3O8, PBEsol geometry; magnetic moment = 3.00 μB per cell; uncorrected formation energy = -1532 meV/atom; symmetry = R3m
1.0
5.6505 0.0000 0.0000
2.8252 4.8935 0.0000
2.8252 1.6312 4.6260
O Co Ti
8 3 1
direct
0.2395 0.7285 0.7924
0.2850 0.7550 0.2051
0.7550 0.7550 0.2051
0.2395 0.2395 0.7924
0.7285 0.2395 0.7924
0.7355 0.7355 0.7935
0.2714 0.2714 0.1857
0.7550 0.2850 0.2051
0.5035 0.5035 0.9863
0.5035 0.0068 0.9863
0.0068 0.5035 0.9863
0.9849 0.9849 0.0452



SCAN TiCo3O8, PBEsol geometry; magnetic moment = 6.00 μB per cell; uncorrected formation energy = -1608 meV/atom; symmetry = P6_3mc
1.0
-0.9294 -0.6439 -5.4411
-1.5584 -3.9610 3.5729
-7.8820 3.8994 0.8849
O Co Ti
16 6 2
direct
0.1631 0.3262 0.8977
0.3262 0.1631 0.3977
0.4822 0.9644 0.1689
0.9644 0.4822 0.6689
0.3333 0.6667 0.3930
0.0000 0.0000 0.6866
0.0000 0.0000 0.1866
0.6738 0.8369 0.8977
0.8369 0.1631 0.3977
0.6667 0.3333 0.8930
0.8369 0.6738 0.3977
0.1631 0.8369 0.8977
0.5178 0.4822 0.6689
0.4822 0.5178 0.1689
0.5178 0.0356 0.6689
0.0356 0.5178 0.1689
0.6643 0.8322 0.2860
0.1678 0.3357 0.2860
0.8322 0.6643 0.7860
0.3357 0.1678 0.7860
0.1678 0.8322 0.2860
0.8322 0.1678 0.7860
0.3333 0.6667 0.0048
0.6667 0.3333 0.5048



SCAN YTiCo2O, PBEsol geometry; magnetic moment = 1.29 μB per cell; uncorrected formation energy = 504 meV/atom; symmetry = P4/mmm
1.0
-2.6153 -0.3534 -3.1239
3.1205 -2.6474 -2.3129
-1.8224 -3.8629 1.9627
Co Ti Y O
2 1 1 1
direct
0.0000 0.5000 0.0000
0.0000 0.0000 0.5000
0.5000 0.5000 0.5000
0.0000 0.0000 0.0000
0.5000 0.0000 0.0000



SCAN Tl3Co3O8, PBEsol geometry; magnetic moment = 4.96 μB per cell; uncorrected formation energy = -933 meV/atom; symmetry = Pmc2_1
1.0
-4.4601 1.5497 2.5951
0.1101 -4.5099 2.8822
6.1874 5.0280 7.6313
O Tl Co
16 6 6
direct
0.2781 0.6750 0.3438
0.9704 0.9707 0.7937
0.4704 0.0295 0.2063
0.5351 0.5386 0.1372
0.4704 0.0295 0.7937
0.0351 0.4615 0.8628
0.8651 0.8699 0.5000
0.7781 0.3252 0.6562
0.7034 0.1513 0.0000
0.3651 0.1304 0.5000
0.2034 0.8487 0.0000
0.2781 0.6750 0.6562
0.5351 0.5386 0.8628
0.9704 0.9707 0.2063
0.7781 0.3252 0.3438
0.0351 0.4615 0.1372
0.7850 0.7367 0.0000
0.7099 0.7368 0.3177
0.2099 0.2634 0.6822
0.7099 0.7368 0.6823
0.2849 0.2633 0.0000
0.2099 0.2634 0.3177
0.7470 0.2436 0.8331
0.7470 0.2436 0.1669
0.2470 0.7565 0.1669
0.7110 0.1937 0.5000
0.2470 0.7565 0.8331
0.2110 0.8066 0.5000



SCAN TlCo3O, PBEsol geometry; magnetic moment = 5.23 μB per cell; uncorrected formation energy = 1845 meV/atom; symmetry = Pm-3m
1.0
-2.0966 3.6440 -2.1365
-0.3926 -2.5430 -3.9520
-4.2059 -1.5791 1.4339
Tl Co O
1 3 1
direct
0.0000 0.0000 0.0000
0.0000 0.5000 0.0000
0.5000 0.0000 0.0000
0.0000 0.0000 0.5000
0.5000 0.5000 0.5000



SCAN V3Co5O16, PBEsol geometry; magnetic moment = 2.07 μB per cell; uncorrected formation energy = -1725 meV/atom; symmetry = Cm
1.0
-2.6795 4.5285 1.5167
-4.8511 1.0698 -2.3044
-3.8729 -4.5268 6.2984
V O Co
3 16 5
direct
0.1425 0.1425 0.7874
0.8268 0.3221 0.2891
0.3221 0.8268 0.2891
0.9586 0.5334 0.1614
0.4771 0.4771 0.6698
0.8361 0.3452 0.9014
0.5334 0.9586 0.1614
0.6540 0.1930 0.4049
0.3327 0.3327 0.9000
0.8347 0.8347 0.8999
0.3452 0.8361 0.9014
0.4699 0.0415 0.6615
0.5201 0.5201 0.1530
0.1930 0.6540 0.4049
0.0415 0.4699 0.6615
0.0085 0.0085 0.1641
0.9868 0.9868 0.6687
0.1710 0.1710 0.3943
0.6748 0.6748 0.3952
0.3327 0.3327 0.5252
0.6579 0.1658 0.7944
0.8415 0.8415 0.2865
0.1658 0.6579 0.7944
0.6732 0.6732 0.0149



SCAN VCoO3, PBEsol geometry; magnetic moment = 4.00 μB per cell; uncorrected formation energy = -2044 meV/atom; symmetry = R-3
1.0
-2.9762 -0.8631 3.6737
4.1398 -2.4151 -0.3580
0.3760 5.1982 1.5256
Co O V
2 6 2
direct
0.8449 0.6899 0.5349
0.1551 0.3101 0.4652
0.0725 0.5013 0.2378
0.5711 0.8347 0.7621
0.7366 0.8090 0.2377
0.9275 0.4987 0.7622
0.4289 0.1653 0.2379
0.2634 0.1910 0.7623
0.3476 0.6952 0.0427
0.6524 0.3048 0.9573



SCAN VCoO3, PBEsol geometry; magnetic moment = 2.85 μB per cell; uncorrected formation energy = -1581 meV/atom; symmetry = Pm-3m
1.0
-2.8866 1.2353 -1.9378
-1.0646 -3.4761 -0.6300
-2.0366 0.0662 3.0759
O V Co
3 1 1
direct
0.5000 0.5000 0.0000
0.5000 0.0000 0.5000
0.0000 0.5000 0.5000
0.5000 0.5000 0.5000
0.0000 0.0000 0.0000



SCAN V2CoO4, PBEsol geometry; magnetic moment = 2.00 μB per cell; uncorrected formation energy = -2273 meV/atom; symmetry = Fd-3m
1.0
5.8240 0.0000 0.0000
2.9120 5.0437 0.0000
2.9120 1.6812 4.7552
O V Co
8 4 2
direct
0.3495 0.8835 0.8835
0.3665 0.3665 0.3665
0.8835 0.8835 0.3495
0.8835 0.8835 0.8835
0.8835 0.3495 0.8835
0.3665 0.3665 0.9005
0.3665 0.9005 0.3665
0.9005 0.3665 0.3665
0.1250 0.6250 0.1250
0.1250 0.1250 0.1250
0.6250 0.1250 0.1250
0.1250 0.1250 0.6250
0.5000 0.5000 0.5000
0.7500 0.7500 0.7500



SCAN YCoO3, PBEsol geometry; magnetic moment = 0.00 μB per cell; uncorrected formation energy = -2728 meV/atom; symmetry = Pnma
1.0
5.0702 0.0287 0.0151
-0.0309 5.4314 0.0029
-0.0217 -0.0042 7.2992
O Co Y
12 4 4
direct
0.8094 0.8016 0.0494
0.9002 0.5269 0.7500
0.1906 0.1984 0.9506
0.1906 0.1984 0.5494
0.3094 0.6984 0.5494
0.0998 0.4731 0.2500
0.6906 0.3016 0.4506
0.8094 0.8016 0.4506
0.5997 0.0270 0.7500
0.6906 0.3016 0.0494
0.4003 0.9730 0.2500
0.3094 0.6984 0.9506
0.0000 0.5000 0.0000
0.5000 0.0000 0.5000
0.5000 0.0000 0.0000
0.0000 0.5000 0.5000
0.4781 0.4248 0.7500
0.9782 0.0752 0.2500
0.0218 0.9248 0.7500
0.5219 0.5752 0.2500



SCAN YCoO3, PBEsol geometry; magnetic moment = 0.00 μB per cell; uncorrected formation energy = -2518 meV/atom; symmetry = Pm-3m
1.0
3.6899 0.0000 0.0000
0.0000 3.6899 0.0000
0.0000 0.0000 3.6899
Y O Co
1 3 1
direct
0.5000 0.5000 0.5000
0.5000 0.0000 0.0000
0.0000 0.0000 0.5000
0.0000 0.5000 0.0000
0.0000 0.0000 0.0000



SCAN Zn3CoO, PBEsol geometry; magnetic moment = 2.42 μB per cell; uncorrected formation energy = 881 meV/atom; symmetry = Pm-3m
1.0
-2.3185 -0.8477 3.7164
-3.6038 -0.9300 -2.4604
1.2421 -4.2804 -0.2014
Zn Co O
3 1 1
direct
0.0000 0.5000 0.0000
0.5000 0.0000 0.0000
0.0000 0.0000 0.5000
0.0000 0.0000 0.0000
0.5000 0.5000 0.5000



SCAN Zn2Co3O8, PBEsol geometry; magnetic moment = 6.05 μB per cell; uncorrected formation energy = -1348 meV/atom; symmetry = P6_3mc
1.0
5.6451 0.0000 0.0000
-2.8226 4.8888 0.0000
0.0000 0.0000 9.1433
O Co Zn
16 6 4
direct
0.1573 0.8427 0.8546
0.0382 0.5191 0.1395
0.5191 0.4809 0.6395
0.3146 0.1573 0.3546
0.8427 0.1573 0.3546
0.8427 0.6854 0.3546
0.4809 0.5191 0.1395
0.6667 0.3333 0.8610
0.5191 0.0382 0.6395
0.0000 0.0000 0.6515
0.9618 0.4809 0.6395
0.3333 0.6667 0.3610
0.0000 0.0000 0.1515
0.6854 0.8427 0.8546
0.4809 0.9618 0.1395
0.1573 0.3146 0.8546
0.8358 0.1642 0.7555
0.3284 0.1642 0.7555
0.1642 0.8358 0.2555
0.1642 0.3284 0.2555
0.8358 0.6716 0.7555
0.6716 0.8358 0.2555
0.3333 0.6667 0.9693
0.3333 0.6667 0.5756
0.6667 0.3333 0.4693
0.6667 0.3333 0.0756